(1)
# LuVIrPd

LuVIrPd after structural relaxation (PBE-GGA, Alexandria via LeMat-Bulk).

Output
Volume: 68.4 Å³ per cell
ΔE_f: -10.729 kcal/mol of atoms
Spin magnetization: 0.527 μB/atom

Lattice parameters (Å, degrees): 4.5906 4.5906 4.5906 60.00 60.00 60.00
Last column: nearest neighbours and their distance in Å.
Fractional positions:
Pd 0.5000 0.5000 0.5000  4 Lu 2.81, 4 V 2.81
Lu 0.2500 0.2500 0.2500  4 Ir 2.81, 4 Pd 2.81
Ir 0.0000 0.0000 0.0000  4 V 2.81, 4 Lu 2.81
V 0.7500 0.7500 0.7500  4 Ir 2.81, 4 Pd 2.81

---

(2)
# RbTiBi2Pb

RbTiBi2Pb after structural relaxation (PBE-GGA, Alexandria via LeMat-Bulk).

Output
Volume: 171.5 Å³ per cell
ΔE_f: -2.018 kcal/mol of atoms
Spin magnetization: 0.000 μB/atom

Lattice parameters (Å, degrees): 5.5452 5.5452 5.5770 90.00 90.00 90.00
Last column: nearest neighbours and their distance in Å.
Fractional positions:
Ti 0.0000 0.0000 0.0000  4 Bi 2.77, 2 Pb 2.79
Pb 0.0000 0.0000 0.5000  2 Ti 2.79
Bi 0.5000 0.0000 0.0000  2 Ti 2.77
Bi 0.0000 0.5000 0.0000  2 Ti 2.77
Rb 0.5000 0.5000 0.5000  4 Pb 3.92, 8 Bi 3.93

---

(3)
# NaAl2CdAg

NaAl2CdAg after structural relaxation (PBE-GGA, Alexandria via LeMat-Bulk).

Output
Volume: 140.1 Å³ per cell
ΔE_f: 11.550 kcal/mol of atoms
Spin magnetization: 0.000 μB/atom

Lattice parameters (Å, degrees): 5.1274 5.3291 5.1274 90.00 90.00 90.00
Last column: nearest neighbours and their distance in Å.
Fractional positions:
Na 0.5000 0.5000 0.5000  4 Ag 3.63, 8 Al 3.70
Ag 0.0000 0.5000 0.0000  2 Cd 2.66
Al 0.5000 0.0000 0.0000  2 Cd 2.56
Al 0.0000 0.0000 0.5000  2 Cd 2.56
Cd 0.0000 0.0000 0.0000  4 Al 2.56, 2 Ag 2.66

---

(4)
# ErThHgOs

ErThHgOs after structural relaxation (PBE-GGA, Alexandria via LeMat-Bulk).

Output
Volume: 94.6 Å³ per cell
ΔE_f: -4.944 kcal/mol of atoms
Spin magnetization: 0.000 μB/atom

Lattice parameters (Å, degrees): 5.1139 5.1139 5.1139 60.00 60.00 60.00
Last column: nearest neighbours and their distance in Å.
Fractional positions:
Er 0.0000 0.0000 0.0000  4 Hg 3.13, 4 Os 3.13
Th 0.5000 0.5000 0.5000  4 Os 3.13, 4 Hg 3.13
Os 0.2500 0.2500 0.2500  4 Er 3.13, 4 Th 3.13
Hg 0.7500 0.7500 0.7500  4 Th 3.13, 4 Er 3.13

---

(5)
# CeAlGa4

CeAlGa4 after structural relaxation (PBE-GGA, Alexandria via LeMat-Bulk).

Output
Volume: 124.1 Å³ per cell
ΔE to the lowest computed polymorph: 148 meV per atom
ΔE_f: -3.791 kcal/mol of atoms
Spin magnetization: 0.116 μB/atom

Lattice parameters (Å, degrees): 4.8702 5.9820 5.4160 56.48 79.42 70.57
Last column: nearest neighbours and their distance in Å.
Fractional positions:
Ga 0.5000 0.2050 0.5901  1 Al 2.66, 2 Ga 2.76
Ga 0.5000 0.7950 0.4099  1 Al 2.66, 2 Ga 2.76
Ga 0.0000 0.3491 0.3018  3 Ga 2.73-2.76, 2 Al 2.79
Ga 0.0000 0.6509 0.6982  3 Ga 2.73-2.76, 2 Al 2.79
Al 0.5000 0.5000 0.0000  6 Ga 2.66-2.79
Ce 0.0000 0.0000 0.0000  10 Ga 3.06-3.29, 2 Al 3.17